1.
A plane-wave DFT calculation with GGA-PBE was carried out for a relaxed structure of Sr3ZnF.

Cell: 5.3486 5.3486 5.3486 Å, 90.00 90.00 90.00°
With the nearest neighbours (Å) after each atom.
Positions (direct):
F (0.0000, 0.0000, 0.0000)  6 Sr 2.67
Zn (0.5000, 0.5000, 0.5000)  12 Sr 3.78
Sr (0.5000, 0.0000, 0.0000)  2 F 2.67
Sr (0.0000, 0.5000, 0.0000)  2 F 2.67
Sr (0.0000, 0.0000, 0.5000)  2 F 2.67

E above lowest polymorph, meV/atom: 0
M_tot, μB per formula unit: 0.9
E_form (uncorrected), eV/atom: -1.003
DOS at the Fermi energy, states/eV per cell: 2.716

***

2.
A plane-wave DFT calculation with GGA-PBE was carried out for a relaxed structure of Sr2Zn2F.

Cell: 7.3218 7.3218 5.2141 Å, 90.00 90.00 90.00°
With the nearest neighbours (Å) after each atom.
Positions (direct):
F (0.0000, 0.0000, 0.0000)  4 Sr 2.65
F (0.5000, 0.5000, 0.0000)  4 Sr 2.65
Zn (0.3834, 0.1166, 0.5000)  1 Zn 2.42
Zn (0.6166, 0.8834, 0.5000)  1 Zn 2.42
Zn (0.1166, 0.6166, 0.5000)  1 Zn 2.42
Zn (0.8834, 0.3834, 0.5000)  1 Zn 2.42
Sr (0.1950, 0.3050, 0.0000)  2 F 2.65
Sr (0.8050, 0.6950, 0.0000)  2 F 2.65
Sr (0.6950, 0.1950, 0.0000)  2 F 2.65
Sr (0.3050, 0.8050, 0.0000)  2 F 2.65

M_tot, μB per formula unit: 0.0
E_form (uncorrected), eV/atom: -1.030
DOS at the Fermi energy, states/eV per cell: 6.461

***

3.
A plane-wave DFT calculation with GGA-PBE was carried out for a relaxed structure of SrZnF2.

Cell: 6.6010 6.6010 6.6010 Å, 32.67 32.67 32.67°
With the nearest neighbours (Å) after each atom.
Positions (direct):
F (0.8760, 0.8760, 0.8760)  3 Zn 2.29, 1 Sr 2.32
F (0.1240, 0.1240, 0.1240)  3 Zn 2.29, 1 Sr 2.32
Sr (0.0000, 0.0000, 0.0000)  2 F 2.32
Zn (0.5000, 0.5000, 0.5000)  6 F 2.29

E above lowest polymorph, meV/atom: 856
M_tot, μB per formula unit: 0.0
E_form (uncorrected), eV/atom: -1.677
DOS at the Fermi energy, states/eV per cell: 1.367

***

4.
A plane-wave DFT calculation with GGA-PBE was carried out for a relaxed structure of Sr5Zn2F12.

Cell: 6.3331 7.0398 8.1906 Å, 102.99 90.00 116.73°
With the nearest neighbours (Å) after each atom.
Positions (direct):
Sr (0.6889, 0.3778, 0.3658)  8 F 2.49-2.67
Sr (0.3111, 0.6222, 0.6342)  8 F 2.49-2.67
Sr (0.2947, 0.5893, 0.1580)  8 F 2.43-2.65
Sr (0.0000, 0.0000, 0.5000)  6 F 2.43-2.54
Sr (0.7053, 0.4107, 0.8420)  8 F 2.43-2.65
F (0.4568, 0.3316, 0.0822)  1 Zn 2.11
F (0.5432, 0.6684, 0.9178)  1 Zn 2.11
F (0.8454, 0.6909, 0.6483)  3 Sr 2.54-2.65, 2 F 2.67
F (0.5994, 0.7099, 0.3936)  4 Sr 2.43-2.67, 1 F 2.67
F (0.1253, 0.6684, 0.9178)  1 Zn 2.11
F (0.8747, 0.3316, 0.0822)  1 Zn 2.11
F (0.4974, 0.9947, 0.1839)  2 Zn 2.45, 2 Sr 2.49-2.50
F (0.1105, 0.7099, 0.3936)  4 Sr 2.43-2.67, 1 F 2.67
F (0.1546, 0.3091, 0.3517)  3 Sr 2.54-2.65, 2 F 2.67
F (0.4006, 0.2901, 0.6064)  4 Sr 2.43-2.67, 1 F 2.67
F (0.8895, 0.2901, 0.6064)  4 Sr 2.43-2.67, 1 F 2.67
F (0.5026, 0.0053, 0.8161)  2 Zn 2.45, 2 Sr 2.49-2.50
Zn (0.8046, 0.0000, 0.0000)  2 F 2.11
Zn (0.1954, 0.0000, 0.0000)  2 F 2.11

M_tot, μB per formula unit: 0.0
E_form (uncorrected), eV/atom: -3.343
DOS at the Fermi energy, states/eV per cell: 0.000

***

5.
A plane-wave DFT calculation with GGA-PBE was carried out for a relaxed structure of Sr2Zn2F7.

Cell: 6.0085 5.4446 6.0114 Å, 85.29 85.24 94.59°
With the nearest neighbours (Å) after each atom.
Positions (direct):
F (0.0818, 0.7312, 0.5625)  1 Zn 2.01
F (0.9182, 0.2688, 0.4375)  1 Zn 2.01
F (0.5843, 0.7531, 0.4156)  1 Zn 1.99
F (0.4157, 0.2469, 0.5844)  1 Zn 1.99
F (0.5629, 0.2689, 0.0824)  1 Zn 2.01
F (0.4371, 0.7311, 0.9176)  1 Zn 2.01
F (0.0000, 0.0000, 0.0000)  2 Zn 2.01
Sr (0.2756, 0.5003, 0.2754)  6 F 2.47-2.48
Sr (0.7244, 0.4997, 0.7246)  6 F 2.47-2.48
Zn (0.7587, 0.0424, 0.2422)  4 F 1.99-2.01
Zn (0.2413, 0.9576, 0.7578)  4 F 1.99-2.01

M_tot, μB per formula unit: 0.0
E_form (uncorrected), eV/atom: -2.877
DOS at the Fermi energy, states/eV per cell: 1.874

***

6.
A plane-wave DFT calculation with GGA-PBE was carried out for a relaxed structure of SrZnF2.

Cell: 7.5154 7.5154 7.5154 Å, 29.05 29.05 29.05°
With the nearest neighbours (Å) after each atom.
Positions (direct):
F (0.8788, 0.8788, 0.8788)  3 Sr 2.39, 1 Zn 2.62
F (0.1212, 0.1212, 0.1212)  3 Sr 2.39, 1 Zn 2.62
Zn (0.0000, 0.0000, 0.0000)  2 F 2.62
Sr (0.5000, 0.5000, 0.5000)  6 F 2.39

E above lowest polymorph, meV/atom: 1
M_tot, μB per formula unit: 0.0
E_form (uncorrected), eV/atom: -2.532
DOS at the Fermi energy, states/eV per cell: 0.000

***

7.
A plane-wave DFT calculation with GGA-PBE was carried out for a relaxed structure of SrZn2F.

Cell: 5.1217 5.1217 5.1217 Å, 60.00 60.00 60.00°
With the nearest neighbours (Å) after each atom.
Positions (direct):
Zn (0.7500, 0.7500, 0.7500)  4 F 3.14, 4 Sr 3.14
Zn (0.2500, 0.2500, 0.2500)  4 Sr 3.14, 4 F 3.14
Sr (0.5000, 0.5000, 0.5000)  8 Zn 3.14
F (0.0000, 0.0000, 0.0000)  8 Zn 3.14

E above lowest polymorph, meV/atom: 581
M_tot, μB per formula unit: 0.0
E_form (uncorrected), eV/atom: -0.522
DOS at the Fermi energy, states/eV per cell: 2.210

***

8.
A plane-wave DFT calculation with GGA-PBE was carried out for a relaxed structure of SrZnF5.

Cell: 5.7783 5.7783 8.1463 Å, 69.77 69.77 70.62°
With the nearest neighbours (Å) after each atom.
Positions (direct):
F (0.7739, 0.7852, 0.6082)  1 Zn 1.88
F (0.2959, 0.7085, 0.0279)  1 Zn 1.98
F (0.7041, 0.2915, 0.9721)  1 Zn 1.98
F (0.7852, 0.7739, 0.1082)  1 Zn 1.88
F (0.2915, 0.7041, 0.4721)  1 Zn 1.98
F (0.0692, 0.9308, 0.7500)  2 Zn 2.09
F (0.9308, 0.0692, 0.2500)  2 Zn 2.09
F (0.2148, 0.2261, 0.8918)  1 Zn 1.88
F (0.7085, 0.2959, 0.5279)  1 Zn 1.98
F (0.2261, 0.2148, 0.3918)  1 Zn 1.88
Sr (0.5487, 0.4513, 0.2500)  7 F 2.41-2.55
Sr (0.4513, 0.5487, 0.7500)  7 F 2.41-2.55
Zn (0.0000, 0.0000, 0.0000)  6 F 1.88-2.09
Zn (0.0000, 0.0000, 0.5000)  6 F 1.88-2.09

M_tot, μB per formula unit: 1.1
E_form (uncorrected), eV/atom: -2.648
DOS at the Fermi energy, states/eV per cell: 8.374

***

9.
A plane-wave DFT calculation with GGA-PBE was carried out for a relaxed structure of SrZnF2.

Cell: 7.9077 7.9077 7.9077 Å, 120.05 120.05 89.92°
With the nearest neighbours (Å) after each atom.
Positions (direct):
F (0.5932, 0.4074, 0.1858)  3 Sr 2.49
F (0.5284, 0.8426, 0.6858)  3 Sr 2.49
F (0.5926, 0.7784, 0.1858)  3 Sr 2.49
F (0.1574, 0.8432, 0.6858)  3 Sr 2.49
F (0.1574, 0.4716, 0.3142)  3 Sr 2.49
F (0.2216, 0.4074, 0.8142)  3 Sr 2.49
F (0.5926, 0.4068, 0.8142)  3 Sr 2.49
F (0.1568, 0.8426, 0.3142)  3 Sr 2.49
Zn (0.8750, 0.1250, 0.2500)  6 F 3.19-3.20
Zn (0.8750, 0.1250, 0.7500)  6 F 3.19-3.20
Zn (0.8750, 0.6250, 0.7500)  6 F 3.19-3.20
Zn (0.3750, 0.1250, 0.2500)  6 F 3.19-3.20
Sr (0.3750, 0.6250, 0.7500)  6 F 2.49
Sr (0.3750, 0.6250, 0.2500)  6 F 2.49
Sr (0.8750, 0.6250, 0.2500)  6 F 2.49
Sr (0.3750, 0.1250, 0.7500)  6 F 2.49

E above lowest polymorph, meV/atom: 0
M_tot, μB per formula unit: 0.0
E_form (uncorrected), eV/atom: -2.532
DOS at the Fermi energy, states/eV per cell: 0.000

***

10.
A plane-wave DFT calculation with GGA-PBE was carried out for a relaxed structure of Sr3Zn5F12.

Cell: 11.8605 11.8605 11.8605 Å, 109.47 109.47 109.47°
With the nearest neighbours (Å) after each atom.
Positions (direct):
F (0.1602, 0.0797, 0.7035)  2 Zn 2.13-2.24
F (0.0797, 0.9194, 0.3762)  2 Zn 2.13-2.24
F (0.4194, 0.0432, 0.3398)  2 Zn 2.13-2.24
F (0.8398, 0.9203, 0.2965)  2 Zn 2.13-2.24
F (0.9568, 0.3762, 0.2965)  2 Zn 2.13-2.24
F (0.2965, 0.8762, 0.9568)  2 Zn 2.13-2.24
F (0.9568, 0.5806, 0.1602)  2 Zn 2.13-2.24
F (0.5432, 0.2035, 0.1238)  2 Zn 2.13-2.24
F (0.5806, 0.9568, 0.6602)  2 Zn 2.13-2.24
F (0.4568, 0.7965, 0.8762)  2 Zn 2.13-2.24
F (0.4568, 0.6602, 0.0806)  2 Zn 2.13-2.24
F (0.8762, 0.2965, 0.4568)  2 Zn 2.13-2.24
F (0.6238, 0.0432, 0.2035)  2 Zn 2.13-2.24
F (0.4194, 0.3762, 0.5797)  2 Zn 2.13-2.24
F (0.8398, 0.9194, 0.0432)  2 Zn 2.13-2.24
F (0.2965, 0.4203, 0.8398)  2 Zn 2.13-2.24
F (0.6602, 0.2035, 0.5797)  2 Zn 2.13-2.24
F (0.6238, 0.5806, 0.9203)  2 Zn 2.13-2.24
F (0.2035, 0.6602, 0.0797)  2 Zn 2.13-2.24
F (0.0797, 0.1602, 0.2035)  2 Zn 2.13-2.24
F (0.9194, 0.0797, 0.8762)  2 Zn 2.13-2.24
F (0.1238, 0.7035, 0.5432)  2 Zn 2.13-2.24
F (0.0432, 0.6238, 0.7035)  2 Zn 2.13-2.24
F (0.8762, 0.5797, 0.9194)  2 Zn 2.13-2.24
F (0.4203, 0.1238, 0.5806)  2 Zn 2.13-2.24
F (0.9203, 0.0806, 0.6238)  2 Zn 2.13-2.24
F (0.0806, 0.1602, 0.4568)  2 Zn 2.13-2.24
F (0.3398, 0.5432, 0.4194)  2 Zn 2.13-2.24
F (0.7965, 0.3398, 0.9203)  2 Zn 2.13-2.24
F (0.1602, 0.0806, 0.9568)  2 Zn 2.13-2.24
F (0.5432, 0.3398, 0.9194)  2 Zn 2.13-2.24
F (0.1238, 0.4203, 0.0806)  2 Zn 2.13-2.24
F (0.2035, 0.5432, 0.6238)  2 Zn 2.13-2.24
F (0.7965, 0.4568, 0.3762)  2 Zn 2.13-2.24
F (0.9194, 0.8398, 0.5432)  2 Zn 2.13-2.24
F (0.5806, 0.6238, 0.4203)  2 Zn 2.13-2.24
F (0.6602, 0.4568, 0.5806)  2 Zn 2.13-2.24
F (0.3762, 0.4194, 0.0797)  2 Zn 2.13-2.24
F (0.9203, 0.8398, 0.7965)  2 Zn 2.13-2.24
F (0.3762, 0.9568, 0.7965)  2 Zn 2.13-2.24
F (0.7035, 0.5797, 0.1602)  2 Zn 2.13-2.24
F (0.5797, 0.7035, 0.6602)  2 Zn 2.13-2.24
F (0.7035, 0.1238, 0.0432)  2 Zn 2.13-2.24
F (0.5797, 0.8762, 0.4194)  2 Zn 2.13-2.24
F (0.4203, 0.2965, 0.3398)  2 Zn 2.13-2.24
F (0.0806, 0.9203, 0.1238)  2 Zn 2.13-2.24
F (0.3398, 0.7965, 0.4203)  2 Zn 2.13-2.24
F (0.0432, 0.4194, 0.8398)  2 Zn 2.13-2.24
Zn (0.6250, 0.8750, 0.2500)  4 F 2.24
Zn (0.0000, 0.0000, 0.0000)  6 F 2.13
Zn (0.8750, 0.6250, 0.7500)  4 F 2.24
Zn (0.0000, 0.5000, 0.5000)  6 F 2.13
Zn (0.0000, 0.5000, 0.0000)  6 F 2.13
Zn (0.5000, 0.5000, 0.5000)  6 F 2.13
Zn (0.1250, 0.7500, 0.3750)  4 F 2.24
Zn (0.6250, 0.7500, 0.8750)  4 F 2.24
Zn (0.7500, 0.1250, 0.8750)  4 F 2.24
Zn (0.5000, 0.5000, 0.0000)  6 F 2.13
Zn (0.8750, 0.2500, 0.6250)  4 F 2.24
Zn (0.1250, 0.3750, 0.2500)  4 F 2.24
Zn (0.3750, 0.1250, 0.7500)  4 F 2.24
Zn (0.5000, 0.0000, 0.0000)  6 F 2.13
Zn (0.7500, 0.6250, 0.3750)  4 F 2.24
Zn (0.2500, 0.8750, 0.1250)  4 F 2.24
Zn (0.3750, 0.2500, 0.1250)  4 F 2.24
Zn (0.0000, 0.0000, 0.5000)  6 F 2.13
Zn (0.2500, 0.3750, 0.6250)  4 F 2.24
Zn (0.5000, 0.0000, 0.5000)  6 F 2.13
Sr (0.6250, 0.2500, 0.3750)  8 F 2.60
Sr (0.8750, 0.1250, 0.2500)  8 F 2.60
Sr (0.2500, 0.6250, 0.8750)  8 F 2.60
Sr (0.1250, 0.8750, 0.7500)  8 F 2.60
Sr (0.7500, 0.3750, 0.1250)  8 F 2.60
Sr (0.6250, 0.3750, 0.7500)  8 F 2.60
Sr (0.8750, 0.7500, 0.1250)  8 F 2.60
Sr (0.7500, 0.8750, 0.6250)  8 F 2.60
Sr (0.3750, 0.6250, 0.2500)  8 F 2.60
Sr (0.2500, 0.1250, 0.3750)  8 F 2.60
Sr (0.1250, 0.2500, 0.8750)  8 F 2.60
Sr (0.3750, 0.7500, 0.6250)  8 F 2.60

M_tot, μB per formula unit: 0.0
E_form (uncorrected), eV/atom: -2.508
DOS at the Fermi energy, states/eV per cell: 22.423